No. 1
First-principles (GGA-PBE) data for an optimized crystal structure of BaNiHg2Pb, as listed in Alexandria via LeMat-Bulk.

Computed properties:
Energy of formation: -0.2314 eV/atom
Symmetry: No. 123

a b c (Å): 5.205 5.205 5.155
angles (deg): 90.00 90.00 90.00
Element x y z (fractional)
Ba 0.000 0.000 0.000
Ni 0.500 0.500 0.500
Hg 0.000 0.500 0.500
Hg 0.500 0.000 0.500
Pb 0.500 0.500 0.000


No. 2
First-principles (GGA-PBE) data for an optimized crystal structure of Ba2NiHgSb, as listed in Alexandria via LeMat-Bulk.

Computed properties:
Symmetry: No. 123
Raw formation energy: -2.4 eV per formula unit

a b c (Å): 6.092 6.092 4.782
angles (deg): 90.00 90.00 90.00
Element x y z (fractional)
Ba 0.000 0.500 0.000
Ba 0.500 0.000 0.000
Ni 0.000 0.000 0.000
Hg 0.500 0.500 0.500
Sb 0.000 0.000 0.500